No. 1
Tb4Sm3HoS8: optimized geometry, GGA-PBE.

Summary:
Fermi-level density of states ... 26.81 states/eV/cell
E_tot ... -307.07 eV per cell
Energy relative to the elements, uncorrected ... -3095 kJ/mol of formula units
M_tot ... 0.00 μB per cell

a = 7.9050 Å, b = 7.9050 Å, c = 19.3850 Å
α = 90.00°, β = 90.00°, γ = 120.00°
Space group R-3m (No. 166, hexagonal axes)
Symmetry-distinct sites (fractional):
Tb  0.0000  0.0000  0.0000 [3 per cell]
Tb  0.0000  0.5000  0.0000 [9 per cell]
Sm  0.0000  0.5000  0.5000 [9 per cell]
Ho  0.0000  0.0000  0.5000 [3 per cell]
S  0.0000  0.0000  0.2528 [6 per cell]
S  0.0057  0.5029  0.2513 [18 per cell]

***

No. 2
RbHfSc3: optimized geometry, GGA-PBE.

Summary:
Fermi-level density of states ... 1.62 states/eV/cell
E_tot ... -25.83 eV per cell
M_tot ... 0.00 μB per cell
Energy of formation from the pure elements ... 0.818 eV per atom
Relative energy among the computed polymorphs ... 0.000 eV/atom

a = 5.544 Å, b = 5.544 Å, c = 5.544 Å
α = 90.00°, β = 90.00°, γ = 90.00°
Space group Pm-3m (No. 221)
Symmetry-distinct sites (fractional):
Rb  0.000  0.000  0.000 [1 per cell]
Hf  0.500  0.500  0.500 [1 per cell]
Sc  0.000  0.500  0.500 [3 per cell]

***

No. 3
La3Pm6SmHo2: optimized geometry, GGA-PBE.

Summary:
Fermi-level density of states ... 39.74 states/eV/cell
E_tot ... -113.84 eV per cell
M_tot ... 0.00 μB per cell
Energy of formation from the pure elements ... 0.020 eV per atom

a = 6.327 Å, b = 10.967 Å, c = 12.124 Å
α = 90.00°, β = 100.08°, γ = 90.00°
Space group C2/m (No. 12)
Symmetry-distinct sites (fractional):
La  0.000  0.000  0.000 [2 per cell]
La  0.000  0.333  0.000 [4 per cell]
Pm  0.247  0.000  0.744 [4 per cell]
Pm  0.248  0.333  0.744 [8 per cell]
Sm  0.000  0.500  0.500 [2 per cell]
Ho  0.000  0.167  0.500 [4 per cell]

***

No. 4
Pr2GaB2Ru5: optimized geometry, GGA-PBE.

Summary:
Fermi-level density of states ... 19.69 states/eV/cell
E_tot ... -149.98 eV per cell
M_tot ... 0.00 μB per cell
Energy of formation from the pure elements ... -0.267 eV per atom

a = 9.763 Å, b = 9.763 Å, c = 3.173 Å
α = 90.00°, β = 90.00°, γ = 90.00°
Space group P4/mbm (No. 127)
Symmetry-distinct sites (fractional):
Pr  0.177  0.323  0.000 [4 per cell]
Ga  0.000  0.000  0.000 [2 per cell]
B  0.122  0.622  0.000 [4 per cell]
Ru  0.000  0.500  0.500 [2 per cell]
Ru  0.069  0.779  0.500 [8 per cell]

***

No. 5
Ac2ZnNi4Ge3: optimized geometry, GGA-PBE.

Summary:
Fermi-level density of states ... 5.34 states/eV/cell
E_tot ... -52.12 eV per cell
M_tot ... 0.00 μB per cell
Energy of formation from the pure elements ... -0.565 eV per atom

a = 4.290 Å, b = 4.290 Å, c = 9.954 Å
α = 90.00°, β = 90.00°, γ = 90.00°
Space group P-4m2 (No. 115)
Symmetry-distinct sites (fractional):
Ac  0.000  0.500  0.249 [2 per cell]
Zn  0.000  0.000  0.500 [1 per cell]
Ni  0.000  0.000  0.000 [1 per cell]
Ni  0.000  0.500  0.628 [2 per cell]
Ni  0.500  0.500  0.000 [1 per cell]
Ge  0.000  0.500  0.879 [2 per cell]
Ge  0.500  0.500  0.500 [1 per cell]

***

No. 6
LiB2C2: optimized geometry, GGA-PBE.

Summary:
Fermi-level density of states ... 8.53 states/eV/cell
E_tot ... -270.66 eV per cell
M_tot ... 0.00 μB per cell
Energy of formation from the pure elements ... -0.023 eV per atom
Relative energy among the computed polymorphs ... 0.046 eV/atom

a = 14.610 Å, b = 5.416 Å, c = 4.692 Å
α = 90.00°, β = 90.08°, γ = 90.00°
Space group Cm (No. 8)
Symmetry-distinct sites (fractional):
Li  0.000  0.000  0.000 [2 per cell]
Li  0.000  0.256  0.499 [4 per cell]
Li  0.249  0.000  0.999 [2 per cell]
B  0.121  0.253  0.834 [4 per cell]
B  0.123  0.000  0.336 [2 per cell]
B  0.126  0.500  0.332 [2 per cell]
B  0.375  0.500  0.666 [2 per cell]
B  0.376  0.000  0.667 [2 per cell]
B  0.378  0.250  0.166 [4 per cell]
C  0.118  0.000  0.674 [2 per cell]
C  0.120  0.500  0.667 [2 per cell]
C  0.123  0.249  0.170 [4 per cell]
C  0.377  0.250  0.831 [4 per cell]
C  0.378  0.000  0.331 [2 per cell]
C  0.383  0.500  0.330 [2 per cell]

***

No. 7
TmPaTcGe: optimized geometry, GGA-PBE.

Summary:
Fermi-level density of states ... 20.07 states/eV/cell
E_tot ... -118.87 eV per cell
M_tot ... 0.00 μB per cell
Energy of formation from the pure elements ... -0.192 eV per atom

a = 6.961 Å, b = 6.961 Å, c = 6.961 Å
α = 90.00°, β = 90.00°, γ = 90.00°
Space group F-43m (No. 216)
Symmetry-distinct sites (fractional):
Tm  0.000  0.000  0.000 [4 per cell]
Pa  0.000  0.000  0.500 [4 per cell]
Tc  0.250  0.250  0.250 [4 per cell]
Ge  0.250  0.250  0.750 [4 per cell]

***

No. 8
TbPm2Te: optimized geometry, GGA-PBE.

Summary:
Fermi-level density of states ... 4.40 states/eV/cell
E_tot ... -19.25 eV per cell
Energy relative to the elements, uncorrected ... -191 kJ/mol of formula units
M_tot ... 0.00 μB per cell
Relative energy among the computed polymorphs ... 0.082 eV/atom

a = 4.900 Å, b = 4.900 Å, c = 4.797 Å
α = 90.00°, β = 90.00°, γ = 90.00°
Space group P4/mmm (No. 123)
Symmetry-distinct sites (fractional):
Tb  0.000  0.000  0.000 [1 per cell]
Pm  0.000  0.500  0.500 [2 per cell]
Te  0.500  0.500  0.000 [1 per cell]

***

No. 9
Y2PPt: optimized geometry, GGA-PBE.

Summary:
Fermi-level density of states ... 8.84 states/eV/cell
E_tot ... -84.38 eV per cell
M_tot ... 0.44 μB per cell
Energy of formation from the pure elements ... -0.937 eV per atom

a = 4.1065 Å, b = 4.1065 Å, c = 20.6155 Å
α = 90.00°, β = 90.00°, γ = 120.00°
Space group R3m (No. 160, hexagonal axes)
Symmetry-distinct sites (fractional):
Y  0.0000  0.0000  0.0000 [3 per cell]
Y  0.0000  0.0000  0.1808 [3 per cell]
P  0.0000  0.0000  0.4327 [3 per cell]
Pt  0.0000  0.0000  0.7507 [3 per cell]

***

No. 10
Pm5Nd3Dy: optimized geometry, GGA-PBE.

Summary:
Fermi-level density of states ... 50.57 states/eV/cell
E_tot ... -165.29 eV per cell
M_tot ... 0.00 μB per cell
Energy of formation from the pure elements ... 0.148 eV per atom
Relative energy among the computed polymorphs ... 0.000 eV/atom

a = 16.682 Å, b = 6.838 Å, c = 11.716 Å
α = 90.00°, β = 110.37°, γ = 90.00°
Space group C2/c (No. 15)
Symmetry-distinct sites (fractional):
Pm  0.000  0.183  0.250 [4 per cell]
Pm  0.108  0.002  0.048 [8 per cell]
Pm  0.174  0.397  0.355 [8 per cell]
Nd  0.000  0.500  0.000 [4 per cell]
Nd  0.239  0.107  0.866 [8 per cell]
Dy  0.000  0.267  0.750 [4 per cell]

***

No. 11
Mn2BeHRu: optimized geometry, GGA-PBE.

Summary:
Fermi-level density of states ... 7.84 states/eV/cell
E_tot ... -33.87 eV per cell
M_tot ... 0.00 μB per cell
Relative energy among the computed polymorphs ... 0.133 eV/atom

a = 3.503 Å, b = 3.503 Å, c = 3.783 Å
α = 90.00°, β = 90.00°, γ = 90.00°
Space group P4/mmm (No. 123)
Symmetry-distinct sites (fractional):
Mn  0.000  0.500  0.000 [2 per cell]
Be  0.000  0.000  0.500 [1 per cell]
H  0.000  0.000  0.000 [1 per cell]
Ru  0.500  0.500  0.500 [1 per cell]

***

No. 12
AcPm2DyEr5: optimized geometry, GGA-PBE.

Summary:
Fermi-level density of states ... 38.80 states/eV/cell
E_tot ... -154.71 eV per cell
M_tot ... 0.00 μB per cell
Energy of formation from the pure elements ... 0.261 eV per atom

a = 8.829 Å, b = 8.829 Å, c = 15.415 Å
α = 90.00°, β = 90.00°, γ = 90.00°
Space group I4/mcm (No. 140)
Symmetry-distinct sites (fractional):
Ac  0.000  0.000  0.250 [4 per cell]
Pm  0.116  0.384  0.000 [8 per cell]
Dy  0.000  0.500  0.250 [4 per cell]
Er  0.000  0.000  0.000 [4 per cell]
Er  0.207  0.293  0.368 [16 per cell]

***

No. 13
CeOsO: optimized geometry, GGA-PBE.

Summary:
Fermi-level density of states ... 7.83 states/eV/cell
E_tot ... -53.16 eV per cell
Energy relative to the elements, uncorrected ... -430 kJ/mol of formula units
M_tot ... 0.79 μB per cell

a = 3.201 Å, b = 3.201 Å, c = 9.558 Å
α = 90.00°, β = 90.00°, γ = 90.00°
Space group P4/nmm (No. 129, origin choice 2)
Symmetry-distinct sites (fractional):
Ce  0.250  0.250  0.171 [2 per cell]
Os  0.250  0.250  0.560 [2 per cell]
O  0.250  0.250  0.909 [2 per cell]

***

No. 14
YPa2Al: optimized geometry, GGA-PBE.

Summary:
Fermi-level density of states ... 7.73 states/eV/cell
E_tot ... -29.26 eV per cell
M_tot ... 0.00 μB per cell
Energy of formation from the pure elements ... -0.014 eV per atom
Relative energy among the computed polymorphs ... 0.000 eV/atom

a = 4.390 Å, b = 4.390 Å, c = 5.041 Å
α = 90.00°, β = 90.00°, γ = 90.00°
Space group P4/mmm (No. 123)
Symmetry-distinct sites (fractional):
Y  0.000  0.000  0.000 [1 per cell]
Pa  0.000  0.500  0.500 [2 per cell]
Al  0.500  0.500  0.000 [1 per cell]

***

No. 15
Ac2SnAs3Ir4: optimized geometry, GGA-PBE.

Summary:
Fermi-level density of states ... 6.11 states/eV/cell
E_tot ... -68.23 eV per cell
M_tot ... 0.00 μB per cell
Energy of formation from the pure elements ... -0.662 eV per atom

a = 4.337 Å, b = 4.337 Å, c = 10.891 Å
α = 90.00°, β = 90.00°, γ = 90.00°
Space group P-4m2 (No. 115)
Symmetry-distinct sites (fractional):
Ac  0.000  0.500  0.245 [2 per cell]
Sn  0.000  0.000  0.500 [1 per cell]
As  0.000  0.500  0.870 [2 per cell]
As  0.500  0.500  0.500 [1 per cell]
Ir  0.000  0.000  0.000 [1 per cell]
Ir  0.000  0.500  0.642 [2 per cell]
Ir  0.500  0.500  0.000 [1 per cell]